{"formula": "TlIrOs", "functional": "PBE-GGA", "state": "optimized geometry", "cell": [[2.926, 0.000, 0.000], [-1.463, 2.534, 0.000], [0.000, 0.000, 6.967]], "species": ["Tl", "Ir", "Os"], "frac_coords": [[0.000, 0.000, 0.000], [0.333, 0.667, 0.356], [0.667, 0.333, 0.643]], "sg": "No. 156", "relative_energy_ev_per_atom": 0.092, "e_form_ev_per_atom": 0.6874, "crystal_system": "trigonal"}

***

{"formula": "Tb2TmIn3Te6", "functional": "PBE-GGA", "state": "optimized geometry", "cell": [[3.817, -6.610, 0.000], [3.817, 6.610, 0.000], [-2.545, 0.000, 8.118]], "species": ["Tb", "Tb", "Tm", "In", "In", "In", "Te", "Te", "Te", "Te", "Te", "Te"], "frac_coords": [[0.166, 0.834, 0.000], [0.834, 0.166, 0.000], [0.500, 0.500, 0.000], [0.000, 0.000, 0.500], [0.332, 0.668, 0.500], [0.668, 0.332, 0.500], [0.098, 0.427, 0.782], [0.244, 0.244, 0.219], [0.427, 0.098, 0.782], [0.573, 0.902, 0.218], [0.756, 0.756, 0.781], [0.902, 0.573, 0.218]], "sg": "No. 12", "e_tot_ev_per_cell": -52.4, "crystal_system": "monoclinic"}

***

{"formula": "V2RuSe", "functional": "PBE-GGA", "state": "optimized geometry", "cell": [[-3.365, 3.365, 2.699], [3.365, -3.365, 2.699], [3.365, 3.365, -2.699]], "species": ["V", "V", "V", "V", "Ru", "Ru", "Se", "Se"], "frac_coords": [[0.124, 0.625, 0.999], [0.375, 0.374, 0.499], [0.626, 0.125, 0.001], [0.875, 0.876, 0.501], [0.000, 0.000, 0.000], [0.750, 0.250, 0.500], [0.250, 0.750, 0.500], [0.500, 0.500, 0.000]], "sg": "No. 122", "e_tot_ev_per_cell": -60.4, "crystal_system": "tetragonal"}

***

{"formula": "AcTlVS4", "functional": "PBE-GGA", "state": "optimized geometry", "cell": [[6.992, 0.000, 0.000], [0.000, 6.585, 0.000], [-2.557, 0.000, 8.487]], "species": ["Ac", "Ac", "Tl", "Tl", "V", "V", "S", "S", "S", "S", "S", "S", "S", "S"], "frac_coords": [[0.241, 0.250, 0.055], [0.759, 0.750, 0.945], [0.283, 0.250, 0.564], [0.717, 0.750, 0.436], [0.212, 0.750, 0.810], [0.788, 0.250, 0.190], [0.001, 0.006, 0.773], [0.001, 0.494, 0.773], [0.389, 0.750, 0.063], [0.407, 0.750, 0.654], [0.593, 0.250, 0.346], [0.611, 0.250, 0.937], [0.999, 0.506, 0.227], [0.999, 0.994, 0.227]], "sg": "No. 11", "e_tot_ev_per_cell": -80.9, "crystal_system": "monoclinic"}

***

{"formula": "Hf2BSbTe", "functional": "PBE-GGA", "state": "optimized geometry", "cell": [[4.898, 0.000, 0.000], [0.000, 4.898, 0.000], [0.000, 0.000, 4.304]], "species": ["Hf", "Hf", "B", "Sb", "Te"], "frac_coords": [[0.000, 0.500, 0.000], [0.500, 0.000, 0.000], [0.000, 0.000, 0.000], [0.000, 0.000, 0.500], [0.500, 0.500, 0.500]], "sg": "No. 123", "e_tot_ev_per_cell": -33.2, "crystal_system": "tetragonal"}

***

{"formula": "TbCeCdTc", "functional": "PBE-GGA", "state": "optimized geometry", "cell": [[0.000, 3.600, 3.600], [3.600, 0.000, 3.600], [3.600, 3.600, 0.000]], "species": ["Tb", "Ce", "Cd", "Tc"], "frac_coords": [[0.000, 0.000, 0.000], [0.500, 0.500, 0.500], [0.750, 0.750, 0.750], [0.250, 0.250, 0.250]], "sg": "No. 216", "e_form_ev_per_atom": -0.0319, "crystal_system": "cubic"}

***

{"formula": "Zr2CdBr", "functional": "PBE-GGA", "state": "optimized geometry", "cell": [[-1.639, 2.563, 5.455], [1.639, -2.563, 5.455], [1.639, 2.563, -5.455]], "species": ["Zr", "Zr", "Cd", "Br"], "frac_coords": [[0.000, 0.000, 0.000], [0.763, 0.263, 0.500], [0.476, 0.476, 0.000], [0.208, 0.708, 0.500]], "sg": "No. 44", "relative_energy_ev_per_atom": 0.256, "crystal_system": "orthorhombic"}

***

{"formula": "Li7In3Ge", "functional": "PBE-GGA", "state": "optimized geometry", "cell": [[1.480, -9.333, 0.000], [1.480, 9.333, 0.000], [0.000, 0.000, 15.767]], "species": ["Li", "Li", "Li", "Li", "Li", "Li", "Li", "Li", "Li", "Li", "Li", "Li", "Li", "Li", "In", "In", "In", "In", "In", "In", "Ge", "Ge"], "frac_coords": [[0.018, 0.982, 0.602], [0.018, 0.982, 0.898], [0.111, 0.889, 0.170], [0.111, 0.889, 0.330], [0.115, 0.885, 0.750], [0.250, 0.750, 0.089], [0.250, 0.750, 0.411], [0.750, 0.250, 0.589], [0.750, 0.250, 0.911], [0.885, 0.115, 0.250], [0.889, 0.111, 0.670], [0.889, 0.111, 0.830], [0.982, 0.018, 0.102], [0.982, 0.018, 0.398], [0.269, 0.731, 0.750], [0.381, 0.619, 0.511], [0.381, 0.619, 0.989], [0.619, 0.381, 0.011], [0.619, 0.381, 0.489], [0.731, 0.269, 0.250], [0.492, 0.508, 0.750], [0.508, 0.492, 0.250]], "sg": "No. 63", "e_form_ev_per_atom": -0.2117, "crystal_system": "orthorhombic"}